Record 1
Density functional theory data (GGA-PBE) for crystalline GaReB at its relaxed geometry.

Cell: 3.7588 3.7588 3.7588 Å, 60.00 60.00 60.00°
Sites, in units of the cell vectors:
Ga1 0.2500 0.2500 0.2500
B1 0.0000 0.0000 0.0000
Re1 0.7500 0.7500 0.7500

symmetry = F-43m (216)
total moment = 0.000 μB per formula unit
E above lowest polymorph = 0.000 eV/atom

=====

Record 2
Density functional theory data (GGA-PBE) for crystalline PuB2Ir3 at its relaxed geometry.

Cell: 5.6875 5.6875 2.9172 Å, 90.00 90.00 120.00°
Site moments in Bohr magnetons follow the coordinates.
Sites, in units of the cell vectors:
Ir1 0.5000 0.5000 0.5000  -0.06
Ir2 0.0000 0.5000 0.5000  -0.04
Ir3 0.5000 0.0000 0.5000  -0.06
B1 0.6667 0.3333 0.0000  -0.02
B2 0.3333 0.6667 0.0000  -0.02
Pu1 0.0000 0.0000 0.0000  5.26

symmetry = P6/mmm (191)
total moment = 5.165 μB per formula unit

=====

Record 3
Density functional theory data (GGA-PBE) for crystalline HfNbTlFe at its relaxed geometry.

Cell: 4.6634 4.6634 4.6634 Å, 60.00 60.00 60.00°
Sites, in units of the cell vectors:
Hf1 0.5000 0.5000 0.5000
Fe1 0.7500 0.7500 0.7500
Tl1 0.0000 0.0000 0.0000
Nb1 0.2500 0.2500 0.2500

symmetry = F-43m (216)
total moment = 2.003 μB per formula unit
E above lowest polymorph = 0.000 eV/atom

=====

Record 4
Density functional theory data (GGA-PBE) for crystalline AcSmHf at its relaxed geometry.

Cell: 5.4097 5.4097 5.4097 Å, 60.00 60.00 60.00°
Sites, in units of the cell vectors:
Sm1 0.7500 0.7500 0.7500
Ac1 0.2500 0.2500 0.2500
Hf1 0.0000 0.0000 0.0000

symmetry = F-43m (216)
total moment = 1.809 μB per formula unit
formation energy = 0.82 eV per atom
E above lowest polymorph = 0.000 eV/atom

=====

Record 5
Density functional theory data (GGA-PBE) for crystalline GdDyZn2Ga2 at its relaxed geometry.

Cell: 4.4204 4.4204 7.2184 Å, 90.00 90.00 120.00°
Sites, in units of the cell vectors:
Zn1 0.3333 0.6667 0.0349
Zn2 0.6667 0.3333 0.5317
Dy1 0.0000 0.0000 0.2493
Ga1 0.3333 0.6667 0.4659
Ga2 0.6667 0.3333 0.9688
Gd1 0.0000 0.0000 0.7494

symmetry = P3m1 (156)
total moment = 0.000 μB per formula unit

=====

Record 6
Density functional theory data (GGA-PBE) for crystalline NaSr2IrO6 at its relaxed geometry.

Cell: 5.7173 5.7173 5.7173 Å, 60.00 60.00 60.00°
Site moments in Bohr magnetons follow the coordinates.
Sites, in units of the cell vectors:
Sr1 0.7500 0.7500 0.7500  0.01
Sr2 0.2500 0.2500 0.2500  0.01
O1 0.7650 0.2350 0.7650  0.11
O2 0.7650 0.7650 0.2350  0.07
O3 0.2350 0.2350 0.7650  0.07
O4 0.2350 0.7650 0.7650  0.10
O5 0.2350 0.7650 0.2350  0.11
O6 0.7650 0.2350 0.2350  0.10
Na1 0.5000 0.5000 0.5000  0.00
Ir1 0.0000 0.0000 0.0000  0.84

symmetry = Fm-3m (225)
total moment = 1.682 μB per formula unit

=====

Record 7
Density functional theory data (GGA-PBE) for crystalline BePAuO at its relaxed geometry.

Cell: 3.0248 7.0188 5.1525 Å, 90.00 90.00 90.00°
Sites, in units of the cell vectors:
Au1 0.0000 0.1740 0.4413
Au2 0.0000 0.8260 0.9413
P1 0.0000 0.1587 0.9243
P2 0.0000 0.8413 0.4243
O1 0.5000 0.4454 0.3386
O2 0.5000 0.5546 0.8386
Be1 0.5000 0.4090 0.0498
Be2 0.5000 0.5910 0.5498

symmetry = Pmc2_1 (26)
E above lowest polymorph = 0.015 eV/atom

=====

Record 8
Density functional theory data (GGA-PBE) for crystalline Cu5B at its relaxed geometry.

Cell: 4.6254 4.6254 4.2540 Å, 90.00 90.00 120.00°
Sites, in units of the cell vectors:
B1 0.0000 0.0000 0.0000
Cu1 0.5000 0.5000 0.5000
Cu2 0.0000 0.5000 0.5000
Cu3 0.5000 0.0000 0.5000
Cu4 0.6667 0.3333 0.0000
Cu5 0.3333 0.6667 0.0000

symmetry = P6/mmm (191)

=====

Record 9
Density functional theory data (GGA-PBE) for crystalline SmCdOs at its relaxed geometry.

Cell: 4.6707 4.6707 4.6707 Å, 60.00 60.00 60.00°
Sites, in units of the cell vectors:
Cd1 0.0000 0.0000 0.0000
Sm1 0.7500 0.7500 0.7500
Os1 0.2500 0.2500 0.2500

symmetry = F-43m (216)
total moment = 0.004 μB per formula unit
formation energy = 0.66 eV per atom

=====

Record 10
Density functional theory data (GGA-PBE) for crystalline DyHo2In3CuGe2 at its relaxed geometry.

Cell: 4.2196 7.3752 7.3752 Å, 120.03 90.00 90.00°
Sites, in units of the cell vectors:
In1 0.5000 0.7572 0.0001
In2 0.5000 0.2428 0.2428
In3 0.5000 0.0001 0.7572
Ge1 0.5000 0.6667 0.3328
Ge2 0.5000 0.3328 0.6667
Ho1 0.0000 0.4040 0.9998
Ho2 0.0000 0.9998 0.4040
Cu1 0.0000 0.0007 0.0007
Dy1 0.0000 0.5958 0.5958

symmetry = Amm2 (38)
total moment = 0.025 μB per formula unit

=====

Record 11
Density functional theory data (GGA-PBE) for crystalline RbTbSnTe3 at its relaxed geometry.

Cell: 17.1330 4.4519 12.6175 Å, 90.00 90.00 90.00°
Sites, in units of the cell vectors:
Rb1 0.7714 0.2500 0.4277
Rb2 0.2714 0.2500 0.0723
Rb3 0.2286 0.7500 0.5723
Rb4 0.7286 0.7500 0.9277
Te1 0.6042 0.7500 0.4588
Te2 0.8660 0.7500 0.6694
Te3 0.4105 0.7500 0.2347
Te4 0.1042 0.7500 0.0412
Te5 0.8958 0.2500 0.9588
Te6 0.9105 0.7500 0.2653
Te7 0.0895 0.2500 0.7347
Te8 0.3660 0.7500 0.8306
Te9 0.6340 0.2500 0.1694
Te10 0.3958 0.2500 0.5412
Te11 0.5895 0.2500 0.7653
Te12 0.1340 0.2500 0.3306
Tb1 0.5078 0.2500 0.3520
Tb2 0.0078 0.2500 0.1480
Tb3 0.4922 0.7500 0.6480
Tb4 0.9922 0.7500 0.8520
Sn1 0.5357 0.7500 0.0823
Sn2 0.4643 0.2500 0.9177
Sn3 0.0357 0.7500 0.4177
Sn4 0.9643 0.2500 0.5823

symmetry = Pnma (62)
total moment = 0.001 μB per formula unit
E above lowest polymorph = 0.000 eV/atom

=====

Record 12
Density functional theory data (GGA-PBE) for crystalline NbGePt at its relaxed geometry.

Cell: 7.3143 7.3143 3.2349 Å, 90.00 90.00 120.00°
Sites, in units of the cell vectors:
Nb1 0.0000 0.2819 0.0000
Nb2 0.7181 0.7181 0.0000
Nb3 0.2819 0.0000 0.0000
Pt1 0.0000 0.6242 0.5000
Pt2 0.6242 0.0000 0.5000
Pt3 0.3758 0.3758 0.5000
Ge1 0.0000 0.0000 0.5000
Ge2 0.6667 0.3333 0.0000
Ge3 0.3333 0.6667 0.0000

symmetry = P-62m (189)
total moment = 0.004 μB per formula unit

=====

DFT total energy? In order: -6.944, -9.579, -7.228, -5.441, -3.563, -6.031, -5.051, -3.433, -4.953, -4.422, -4.179, -7.214 eV per atom.